Record 1
Compound: LiBeCd2
Source: Alexandria via LeMat-Bulk
Functional: GGA-PBE
Structure: relaxed

The value obtained for the density of states at the Fermi level is 1.18 states/eV/f.u. The total DFT energy (no corrections) comes out at -6.98 eV per cell.

It has space group P4mm (No. 99), with a = 3.1347 Å, b = 3.1347 Å, c = 6.5459 Å, α = 90.00°, β = 90.00° and γ = 90.00°. The inequivalent atoms are Li at (0.0000, 0.0000, 0.0000), Be at (0.5000, 0.5000, 0.1862), Cd at (0.0000, 0.0000, 0.4227) and Cd at (0.5000, 0.5000, 0.7562).


Record 2
Compound: LiBeCd2
Source: Alexandria via LeMat-Bulk
Functional: GGA-PBE
Structure: relaxed

The value obtained for the density of states at the Fermi level is 1.32 states/eV/f.u. The total DFT energy (no corrections) comes out at -13.95 eV per cell.

It has space group Cm (No. 8), with a = 9.7090 Å, b = 3.3961 Å, c = 4.3577 Å, α = 90.00°, β = 115.13° and γ = 90.00°. The inequivalent atoms are Li at (0.0000, 0.0000, 0.0000), Be at (0.2361, 0.5000, 0.2421), Cd at (0.2347, 0.0000, 0.7419) and Cd at (0.4647, 0.0000, 0.4621).


Record 3
Compound: LiBeCd2
Source: Alexandria via LeMat-Bulk
Functional: GGA-PBE
Structure: relaxed

The value obtained for the density of states at the Fermi level is 0.85 states/eV/f.u. The total DFT energy (no corrections) comes out at -13.65 eV per cell.

It has space group C2/m (No. 12), with a = 10.4599 Å, b = 2.9572 Å, c = 4.8869 Å, α = 90.00°, β = 111.92° and γ = 90.00°. The inequivalent atoms are Li at (0.0000, 0.0000, 0.0000), Be at (0.0000, 0.5000, 0.5000) and Cd at (0.2081, 0.0000, 0.7150).


Record 4
Compound: Li2BeCd
Source: Alexandria via LeMat-Bulk
Functional: GGA-PBE
Structure: relaxed

The value obtained for the density of states at the Fermi level is 0.72 states/eV/f.u. The total DFT energy (no corrections) comes out at -16.18 eV per cell.

It has space group I4/mmm (No. 139), with a = 3.7571 Å, b = 3.7571 Å, c = 8.4800 Å, α = 90.00°, β = 90.00° and γ = 90.00°. The inequivalent atoms are Li at (0.0000, 0.5000, 0.2500), Be at (0.0000, 0.0000, 0.0000) and Cd at (0.0000, 0.0000, 0.5000).


Record 5
Compound: LiBeCd2
Source: Alexandria via LeMat-Bulk
Functional: GGA-PBE
Structure: relaxed

The value obtained for the density of states at the Fermi level is 0.78 states/eV/f.u. The total DFT energy (no corrections) comes out at -27.53 eV per cell.

It has space group F-43m (No. 216), with a = 6.4376 Å, b = 6.4376 Å, c = 6.4376 Å, α = 90.00°, β = 90.00° and γ = 90.00°. The inequivalent atoms are Li at (0.0000, 0.0000, 0.0000), Be at (0.2500, 0.2500, 0.2500), Cd at (0.0000, 0.0000, 0.5000) and Cd at (0.2500, 0.2500, 0.7500).


Record 6
Compound: LiBe4Cd
Source: Alexandria via LeMat-Bulk
Functional: GGA-PBE
Structure: relaxed

The value obtained for the density of states at the Fermi level is 0.71 states/eV/f.u. The total DFT energy (no corrections) comes out at -70.04 eV per cell.

It has space group F-43m (No. 216), with a = 6.3782 Å, b = 6.3782 Å, c = 6.3782 Å, α = 90.00°, β = 90.00° and γ = 90.00°. The inequivalent atoms are Li at (0.0000, 0.0000, 0.0000), Be at (0.1253, 0.1253, 0.6253) and Cd at (0.2500, 0.2500, 0.2500).


Record 7
Compound: Li2BeCd
Source: Alexandria via LeMat-Bulk
Functional: GGA-PBE
Structure: relaxed

The value obtained for the density of states at the Fermi level is 1.22 states/eV/f.u. The total DFT energy (no corrections) comes out at -16.35 eV per cell.

It has space group Cm (No. 8), with a = 9.2237 Å, b = 3.1205 Å, c = 4.5231 Å, α = 90.00°, β = 112.72° and γ = 90.00°. The inequivalent atoms are Li at (0.0000, 0.0000, 0.0000), Li at (0.2317, 0.0000, 0.7739), Be at (0.2267, 0.5000, 0.2956) and Cd at (0.4639, 0.0000, 0.4596).


Record 8
Compound: Li4BeCd
Source: Alexandria via LeMat-Bulk
Functional: GGA-PBE
Structure: relaxed

The value obtained for the density of states at the Fermi level is 3.08 states/eV/f.u. The total DFT energy (no corrections) comes out at -44.24 eV per cell.

It has space group F-43m (No. 216), with a = 7.1493 Å, b = 7.1493 Å, c = 7.1493 Å, α = 90.00°, β = 90.00° and γ = 90.00°. The inequivalent atoms are Li at (0.1244, 0.1244, 0.1244), Be at (0.2500, 0.2500, 0.7500) and Cd at (0.0000, 0.0000, 0.5000).


Record 9
Compound: LiBeCd
Source: Alexandria via LeMat-Bulk
Functional: GGA-PBE
Structure: relaxed

The value obtained for the density of states at the Fermi level is 1.18 states/eV/f.u. The total DFT energy (no corrections) comes out at -6.08 eV per cell.

It has space group P3m1 (No. 156), with a = 4.3503 Å, b = 4.3503 Å, c = 2.6613 Å, α = 90.00°, β = 90.00° and γ = 120.00°. The inequivalent atoms are Li at (0.0000, 0.0000, 0.0000), Be at (0.3333, 0.6667, 0.1835) and Cd at (0.6667, 0.3333, 0.5882).


Record 10
Compound: LiBeCd2
Source: Alexandria via LeMat-Bulk
Functional: GGA-PBE
Structure: relaxed

The value obtained for the density of states at the Fermi level is 1.39 states/eV/f.u. The total DFT energy (no corrections) comes out at -24.14 eV per cell.

It has space group I-42d (No. 122), with a = 4.1625 Å, b = 4.1625 Å, c = 18.0497 Å, α = 90.00°, β = 90.00° and γ = 90.00°. The inequivalent atoms are Li at (0.0000, 0.0000, 0.0000), Be at (0.0000, 0.0000, 0.5000) and Cd at (0.2334, 0.2500, 0.6250).


Record 11
Compound: Li2BeCd
Source: Alexandria via LeMat-Bulk
Functional: GGA-PBE
Structure: relaxed

The value obtained for the density of states at the Fermi level is 0.78 states/eV/f.u. The total DFT energy (no corrections) comes out at -16.30 eV per cell.

It has space group C2/m (No. 12), with a = 10.1532 Å, b = 2.9692 Å, c = 4.3263 Å, α = 90.00°, β = 115.11° and γ = 90.00°. The inequivalent atoms are Li at (0.2320, 0.0000, 0.2321), Be at (0.0000, 0.5000, 0.0000) and Cd at (0.0000, 0.0000, 0.5000).


Record 12
Compound: LiBeCd4
Source: Alexandria via LeMat-Bulk
Functional: GGA-PBE
Structure: relaxed

The value obtained for the density of states at the Fermi level is 2.96 states/eV/f.u. The total DFT energy (no corrections) comes out at -29.25 eV per cell.

It has space group F-43m (No. 216), with a = 7.9727 Å, b = 7.9727 Å, c = 7.9727 Å, α = 90.00°, β = 90.00° and γ = 90.00°. The inequivalent atoms are Li at (0.0000, 0.0000, 0.0000), Be at (0.2500, 0.2500, 0.7500) and Cd at (0.1248, 0.1248, 0.3752).


Number 1: calculated volume 16.08 Å³ per atom, magnetic moment 0.00 μB per formula unit. Number 2: calculated volume 16.26 Å³ per atom, magnetic moment 0.00 μB per formula unit. Number 3: calculated volume 17.53 Å³ per atom, magnetic moment 0.00 μB per formula unit. Number 4: calculated volume 14.96 Å³ per atom, magnetic moment 0.00 μB per formula unit. Number 5: calculated volume 16.67 Å³ per atom, magnetic moment 0.00 μB per formula unit. Number 6: calculated volume 10.81 Å³ per atom, magnetic moment 0.00 μB per formula unit. Number 7: calculated volume 15.01 Å³ per atom, magnetic moment 0.00 μB per formula unit. Number 8: calculated volume 15.23 Å³ per atom, magnetic moment 0.55 μB per formula unit. Number 9: calculated volume 14.54 Å³ per atom, magnetic moment 0.00 μB per formula unit. Number 10: calculated volume 19.55 Å³ per atom, magnetic moment 0.00 μB per formula unit. Number 11: calculated volume 14.76 Å³ per atom, magnetic moment 0.00 μB per formula unit. Number 12: calculated volume 21.12 Å³ per atom, magnetic moment 0.00 μB per formula unit.